[1]
Computed, not measured: an optimized crystal structure of Hf2Be2Ga at the PBE level of DFT.

## Properties
Space group = P4/mbm, No. 127

Cell: 6.199 6.199 3.902 Å, 90.00 90.00 90.00°
Fractional coordinates of all 10 atoms:
Hf: 0.169 0.331 0.000
Hf: 0.331 0.831 0.000
Hf: 0.669 0.169 0.000
Hf: 0.831 0.669 0.000
Be: 0.123 0.623 0.500
Be: 0.377 0.123 0.500
Be: 0.623 0.877 0.500
Be: 0.877 0.377 0.500
Ga: 0.000 0.000 0.500
Ga: 0.500 0.500 0.500


[2]
Computed, not measured: an optimized crystal structure of Er3ZrSc2OsSe2 at the PBE level of DFT.

## Properties
Space group = Amm2, No. 38

Cell: 3.844 7.723 7.723 Å, 120.70 90.00 90.00°
Fractional coordinates of all 9 atoms:
Er: 0.000 0.000 0.000
Er: 0.000 0.192 0.594
Er: 0.000 0.594 0.192
Zr: 0.500 0.354 0.354
Sc: 0.500 0.592 0.839
Sc: 0.500 0.839 0.592
Os: 0.000 0.603 0.603
Se: 0.500 0.263 0.928
Se: 0.500 0.928 0.263


[3]
Computed, not measured: an optimized crystal structure of Lu8Ga2C3N3 at the PBE level of DFT.

## Properties
Space group = P-3m1, No. 164

Cell: 3.405 3.405 26.243 Å, 90.00 90.00 120.00°
Fractional coordinates of all 16 atoms:
Lu: 0.000 0.000 0.153
Lu: 0.000 0.000 0.340
Lu: 0.000 0.000 0.660
Lu: 0.000 0.000 0.847
Lu: 0.333 0.667 0.556
Lu: 0.333 0.667 0.949
Lu: 0.667 0.333 0.051
Lu: 0.667 0.333 0.444
Ga: 0.333 0.667 0.757
Ga: 0.667 0.333 0.243
C: 0.000 0.000 0.500
C: 0.333 0.667 0.386
C: 0.667 0.333 0.614
N: 0.000 0.000 0.000
N: 0.333 0.667 0.106
N: 0.667 0.333 0.894


[4]
Computed, not measured: an optimized crystal structure of ZnTePd at the PBE level of DFT.

## Properties
Space group = F-43m, No. 216

Cell: 6.413 6.413 6.413 Å, 90.00 90.00 90.00°
Fractional coordinates of all 12 atoms:
Zn: 0.000 0.000 0.000
Zn: 0.000 0.500 0.500
Zn: 0.500 0.000 0.500
Zn: 0.500 0.500 0.000
Te: 0.250 0.250 0.750
Te: 0.250 0.750 0.250
Te: 0.750 0.250 0.250
Te: 0.750 0.750 0.750
Pd: 0.000 0.000 0.500
Pd: 0.000 0.500 0.000
Pd: 0.500 0.000 0.000
Pd: 0.500 0.500 0.500


[5]
Computed, not measured: an optimized crystal structure of ScSiGePt at the PBE level of DFT.

## Properties
Space group = Amm2, No. 38

Cell: 6.389 4.079 10.510 Å, 90.00 90.00 90.00°
Fractional coordinates of all 16 atoms:
Sc: 0.000 0.000 0.000
Sc: 0.000 0.500 0.500
Sc: 0.500 0.000 0.196
Sc: 0.500 0.500 0.696
Si: 0.216 0.000 0.751
Si: 0.216 0.500 0.251
Si: 0.784 0.000 0.751
Si: 0.784 0.500 0.251
Ge: 0.294 0.000 0.510
Ge: 0.294 0.500 0.010
Ge: 0.706 0.000 0.510
Ge: 0.706 0.500 0.010
Pt: 0.000 0.000 0.258
Pt: 0.000 0.500 0.758
Pt: 0.500 0.000 0.913
Pt: 0.500 0.500 0.413


[6]
Computed, not measured: an optimized crystal structure of RbU3F13 at the PBE level of DFT.

## Properties
Space group = Pmc2_1, No. 26

Cell: 7.854 7.224 8.345 Å, 90.00 90.00 90.00°
Fractional coordinates of all 34 atoms:
Rb: 0.000 0.104 0.000
Rb: 0.000 0.896 0.500
U: 0.245 0.396 0.362
U: 0.245 0.604 0.862
U: 0.500 0.111 0.701
U: 0.500 0.889 0.201
U: 0.755 0.396 0.362
U: 0.755 0.604 0.862
F: 0.000 0.223 0.327
F: 0.000 0.429 0.844
F: 0.000 0.571 0.344
F: 0.000 0.777 0.827
F: 0.190 0.449 0.102
F: 0.190 0.551 0.602
F: 0.235 0.180 0.562
F: 0.235 0.820 0.062
F: 0.300 0.110 0.243
F: 0.300 0.890 0.743
F: 0.327 0.305 0.843
F: 0.327 0.695 0.343
F: 0.500 0.034 0.969
F: 0.500 0.367 0.522
F: 0.500 0.395 0.231
F: 0.500 0.605 0.731
F: 0.500 0.633 0.022
F: 0.500 0.966 0.469
F: 0.673 0.305 0.843
F: 0.673 0.695 0.343
F: 0.700 0.110 0.243
F: 0.700 0.890 0.743
F: 0.765 0.180 0.562
F: 0.765 0.820 0.062
F: 0.810 0.449 0.102
F: 0.810 0.551 0.602


Uncorrected energy readings, ordered: -6.4408, -6.7419, -6.8210, -3.2622, -6.3906, -6.9963 eV per atom